Crystalline NdCdNO at its relaxed geometry, computed with GGA-PBE.

POSCAR file:
```
NdCdNO
1.0
3.9283 0.0000 0.0000
0.0000 3.9283 0.0000
0.0000 0.0000 8.2760
Cd O N Nd
2 2 2 2
Direct
0.5000 0.5000 0.5000 Cd
0.0000 0.0000 0.5000 Cd
0.0000 0.0000 0.0000 O
0.5000 0.5000 0.0000 O
0.0000 0.5000 0.6689 N
0.5000 0.0000 0.3311 N
0.0000 0.5000 0.1472 Nd
0.5000 0.0000 0.8528 Nd
```

***

Crystalline NdCdNO at its relaxed geometry, computed with GGA-PBE.

POSCAR file:
```
NdCdNO
1.0
-2.1610 4.4766 1.2838
-3.3209 -3.5375 6.7452
5.2669 1.5637 3.4131
N Cd O Nd
4 4 4 4
Direct
0.5507 0.1267 0.5781 N
0.5507 0.8733 0.0781 N
0.0507 0.1267 0.9219 N
0.0507 0.8733 0.4219 N
0.0412 0.3726 0.0641 Cd
0.0412 0.6274 0.5641 Cd
0.5412 0.6274 0.9359 Cd
0.5412 0.3726 0.4359 Cd
0.5654 0.6076 0.5917 O
0.0654 0.3924 0.4083 O
0.0654 0.6076 0.9083 O
0.5654 0.3924 0.0917 O
0.5451 0.8582 0.4417 Nd
0.5451 0.1418 0.9417 Nd
0.0451 0.8582 0.0583 Nd
0.0451 0.1418 0.5583 Nd
```

***

Crystalline NdCdNO at its relaxed geometry, computed with GGA-PBE.

POSCAR file:
```
NdCdNO
1.0
-1.9893 -3.4455 0.0000
0.0000 0.0000 5.6200
-5.4948 3.1724 0.0000
Cd N O Nd
2 2 2 2
Direct
0.5000 0.9767 0.1992 Cd
0.5000 0.4767 0.8008 Cd
0.0000 0.9064 0.3355 N
0.0000 0.4064 0.6645 N
0.5000 0.3891 0.1532 O
0.5000 0.8891 0.8468 O
0.0000 0.4818 0.3049 Nd
0.0000 0.9818 0.6951 Nd
```

***

Crystalline NdCdNO at its relaxed geometry, computed with GGA-PBE.

POSCAR file:
```
NdCdNO
1.0
6.3732 0.0000 0.0000
0.0000 7.5289 0.0000
0.0000 0.0000 6.2125
Nd N Cd O
4 4 4 4
Direct
0.0687 0.3573 0.9733 Nd
0.9313 0.6427 0.4733 Nd
0.4313 0.3573 0.4733 Nd
0.5687 0.6427 0.9733 Nd
0.9159 0.1277 0.1376 N
0.5841 0.1277 0.6376 N
0.0841 0.8723 0.6376 N
0.4159 0.8723 0.1376 N
0.1027 0.9062 0.9883 Cd
0.6027 0.0938 0.9883 Cd
0.3973 0.9062 0.4883 Cd
0.8973 0.0938 0.4883 Cd
0.8999 0.6036 0.1032 O
0.1001 0.3964 0.6032 O
0.6001 0.6036 0.6032 O
0.3999 0.3964 0.1032 O
```

***

Crystalline NdCdNO at its relaxed geometry, computed with GGA-PBE.

POSCAR file:
```
NdCdNO
1.0
3.0650 0.3892 -2.2331
3.6219 -1.2184 4.7588
-0.2383 -6.2198 -1.4110
O Nd N Cd
2 2 2 2
Direct
0.5000 0.8814 0.8391 O
0.5000 0.3814 0.1609 O
0.5000 0.0027 0.1792 Nd
0.5000 0.5027 0.8208 Nd
0.0000 0.8642 0.3315 N
0.0000 0.3642 0.6685 N
0.0000 0.5057 0.3495 Cd
0.0000 0.0057 0.6505 Cd
```

***

Crystalline Ta4CdNiN2 at its relaxed geometry, computed with GGA-PBE.

POSCAR file:
```
Ta4CdNiN2
1.0
3.1083 0.0000 0.0000
-1.5542 2.6919 0.0000
0.0000 0.0000 13.6200
N Ta Cd Ni
2 4 1 1
Direct
0.3333 0.6667 0.2324 N
0.3333 0.6667 0.7676 N
0.6667 0.3333 0.1428 Ta
0.6667 0.3333 0.8572 Ta
0.0000 0.0000 0.6791 Ta
0.0000 0.0000 0.3209 Ta
0.6667 0.3333 0.5000 Cd
0.0000 0.0000 0.0000 Ni
```

***

Crystalline CdOsNO at its relaxed geometry, computed with GGA-PBE.

POSCAR file:
```
CdOsNO
1.0
2.7030 -2.7030 0.0000
2.7030 2.7030 0.0000
0.0000 0.0000 7.3688
Os N O Cd
2 2 2 2
Direct
0.7500 0.2500 0.5000 Os
0.2500 0.7500 0.5000 Os
0.2500 0.2500 0.6174 N
0.7500 0.7500 0.3826 N
0.2500 0.7500 0.0000 O
0.7500 0.2500 0.0000 O
0.7500 0.7500 0.8513 Cd
0.2500 0.2500 0.1487 Cd
```

***

Crystalline CdOsNO at its relaxed geometry, computed with GGA-PBE.

POSCAR file:
```
CdOsNO
1.0
5.6129 0.0000 0.0000
0.0000 7.8329 0.0000
0.0000 0.0000 4.9052
Cd N O Os
4 4 4 4
Direct
0.9682 0.8585 0.4904 Cd
0.5318 0.8585 0.9904 Cd
0.0318 0.1415 0.9904 Cd
0.4682 0.1415 0.4904 Cd
0.5575 0.8461 0.4802 N
0.4425 0.1539 0.9802 N
0.0575 0.1539 0.4802 N
0.9425 0.8461 0.9802 N
0.3710 0.4929 0.2097 O
0.6290 0.5071 0.7097 O
0.1290 0.4929 0.7097 O
0.8710 0.5071 0.2097 O
0.1279 0.6565 0.0221 Os
0.6279 0.3435 0.0221 Os
0.8721 0.3435 0.5221 Os
0.3721 0.6565 0.5221 Os
```

***

Crystalline CdOsNO at its relaxed geometry, computed with GGA-PBE.

POSCAR file:
```
CdOsNO
1.0
-1.4695 -2.5453 0.0000
0.0000 0.0000 7.1030
-4.8662 2.8095 0.0000
N O Os Cd
2 2 2 2
Direct
0.0000 0.2516 0.5744 N
0.0000 0.7516 0.4256 N
0.5000 0.9282 0.7890 O
0.5000 0.4282 0.2110 O
0.0000 0.4934 0.4525 Os
0.0000 0.9934 0.5475 Os
0.5000 0.5808 0.8615 Cd
0.5000 0.0808 0.1385 Cd
```

***

Crystalline CdOsNO at its relaxed geometry, computed with GGA-PBE.

POSCAR file:
```
CdOsNO
1.0
3.6207 0.0000 0.0000
0.0000 3.6207 0.0000
0.0000 0.0000 7.3555
O Cd N Os
2 2 2 2
Direct
0.0000 0.0000 0.0000 O
0.5000 0.5000 0.0000 O
0.0000 0.0000 0.5000 Cd
0.5000 0.5000 0.5000 Cd
0.0000 0.5000 0.7259 N
0.5000 0.0000 0.2741 N
0.0000 0.5000 0.1557 Os
0.5000 0.0000 0.8443 Os
```

***

Crystalline CdOsNO at its relaxed geometry, computed with GGA-PBE.

POSCAR file:
```
CdOsNO
1.0
-2.2603 -1.6212 1.7188
0.0058 -3.5608 -3.3509
4.9426 -3.2361 3.4473
Os N Cd O
2 2 2 2
Direct
0.5000 0.9867 0.5306 Os
0.5000 0.0133 0.0306 Os
0.0000 0.1520 0.5820 N
0.0000 0.8480 0.0820 N
0.0000 0.5618 0.3609 Cd
0.0000 0.4382 0.8609 Cd
0.5000 0.2327 0.2725 O
0.5000 0.7673 0.7725 O
```

***

Crystalline CdOsNO at its relaxed geometry, computed with GGA-PBE.

POSCAR file:
```
CdOsNO
1.0
-4.4596 2.3118 1.8255
-4.2039 -4.4034 -4.6936
-0.3432 -3.4909 3.5824
Os Cd N O
4 4 4 4
Direct
0.0175 0.0677 0.0145 Os
0.9825 0.9323 0.5145 Os
0.5175 0.9323 0.0145 Os
0.4825 0.0677 0.5145 Os
0.0211 0.6223 0.9895 Cd
0.4789 0.6223 0.4895 Cd
0.9789 0.3777 0.4895 Cd
0.5211 0.3777 0.9895 Cd
0.3564 0.1420 0.1539 N
0.8564 0.8580 0.1539 N
0.6436 0.8580 0.6539 N
0.1436 0.1420 0.6539 N
0.4339 0.6655 0.0445 O
0.5661 0.3345 0.5445 O
0.9339 0.3345 0.0445 O
0.0661 0.6655 0.5445 O
```

***

Crystalline CdPbNO at its relaxed geometry, computed with GGA-PBE.

POSCAR file:
```
CdPbNO
1.0
-2.0432 0.9937 3.2362
1.5654 -5.0016 2.5241
5.0246 2.7478 2.3286
Cd Pb N O
2 2 2 2
Direct
0.5000 0.9888 0.1860 Cd
0.5000 0.4888 0.8140 Cd
0.0000 0.9953 0.6792 Pb
0.0000 0.4953 0.3208 Pb
0.0000 0.3840 0.6713 N
0.0000 0.8840 0.3287 N
0.5000 0.8859 0.8300 O
0.5000 0.3859 0.1700 O
```

***

Crystalline CdPbNO at its relaxed geometry, computed with GGA-PBE.

POSCAR file:
```
CdPbNO
1.0
-3.0329 1.9824 -0.7787
-3.3887 -5.0794 0.2667
-0.9628 0.9686 6.2157
Cd Pb O N
2 2 2 2
Direct
0.0000 0.5055 0.3428 Cd
0.0000 0.0055 0.6572 Cd
0.5000 0.4989 0.8260 Pb
0.5000 0.9989 0.1740 Pb
0.5000 0.3774 0.1649 O
0.5000 0.8774 0.8351 O
0.0000 0.3722 0.6705 N
0.0000 0.8722 0.3295 N
```

***

Crystalline CdPbNO at its relaxed geometry, computed with GGA-PBE.

POSCAR file:
```
CdPbNO
1.0
6.5133 0.0000 0.0000
0.0000 7.4611 0.0000
0.0000 0.0000 5.8739
O Pb N Cd
4 4 4 4
Direct
0.5901 0.3868 0.6054 O
0.4099 0.6132 0.1054 O
0.9099 0.3868 0.1054 O
0.0901 0.6132 0.6054 O
0.0845 0.1343 0.9975 Pb
0.4155 0.1343 0.4975 Pb
0.9155 0.8657 0.4975 Pb
0.5845 0.8657 0.9975 Pb
0.4215 0.1222 0.1086 N
0.5785 0.8778 0.6086 N
0.0785 0.1222 0.6086 N
0.9215 0.8778 0.1086 N
0.4168 0.6295 0.4909 Cd
0.9168 0.3705 0.4909 Cd
0.5832 0.3705 0.9909 Cd
0.0832 0.6295 0.9909 Cd
```

***

Crystalline CdPbNO at its relaxed geometry, computed with GGA-PBE.

POSCAR file:
```
CdPbNO
1.0
-0.3002 4.8848 0.2483
-1.0349 0.1797 -4.7864
-4.7778 -0.3455 1.0200
N Pb O Cd
2 2 2 2
Direct
0.7500 0.7500 0.4983 N
0.2500 0.2500 0.5017 N
0.2500 0.7500 0.5000 Pb
0.7500 0.2500 0.5000 Pb
0.2500 0.7500 0.0000 O
0.7500 0.2500 0.0000 O
0.2500 0.2500 0.0010 Cd
0.7500 0.7500 0.9990 Cd
```

***

Crystalline CdPbNO at its relaxed geometry, computed with GGA-PBE.

POSCAR file:
```
CdPbNO
1.0
-3.5167 1.8746 -0.9605
0.7659 -0.6033 -3.9816
-4.1842 -7.6669 0.3568
N Pb O Cd
2 2 2 2
Direct
0.0000 0.5000 0.6128 N
0.5000 0.0000 0.3872 N
0.0000 0.5000 0.1340 Pb
0.5000 0.0000 0.8660 Pb
0.0000 0.0000 0.0000 O
0.5000 0.5000 0.0000 O
0.0000 0.0000 0.5000 Cd
0.5000 0.5000 0.5000 Cd
```

***

Crystalline CdPdNO at its relaxed geometry, computed with GGA-PBE.

POSCAR file:
```
CdPdNO
1.0
-3.0353 -3.3064 0.1308
3.3048 -3.0380 -0.1066
0.1861 0.0270 5.0002
Pd Cd N O
2 2 2 2
Direct
0.7500 0.7500 0.0048 Pd
0.2500 0.2500 0.9952 Pd
0.7500 0.2500 0.5000 Cd
0.2500 0.7500 0.5000 Cd
0.7500 0.7500 0.4125 N
0.2500 0.2500 0.5875 N
0.7500 0.2500 0.0000 O
0.2500 0.7500 0.0000 O
```

***

Crystalline CdPdNO at its relaxed geometry, computed with GGA-PBE.

POSCAR file:
```
CdPdNO
1.0
4.1935 0.0000 0.0000
0.0000 4.1935 0.0000
0.0000 0.0000 6.5098
Cd Pd O N
2 2 2 2
Direct
0.0000 0.0000 0.5000 Cd
0.5000 0.5000 0.5000 Cd
0.0000 0.5000 0.9508 Pd
0.5000 0.0000 0.0492 Pd
0.0000 0.0000 0.0000 O
0.5000 0.5000 0.0000 O
0.0000 0.5000 0.6406 N
0.5000 0.0000 0.3594 N
```

***

Crystalline CdPdNO at its relaxed geometry, computed with GGA-PBE.

POSCAR file:
```
CdPdNO
1.0
3.5310 0.0000 0.0000
0.0000 5.7334 0.0000
0.0000 0.0000 5.7458
O Cd N Pd
2 2 2 2
Direct
0.5000 0.8369 0.8926 O
0.5000 0.3369 0.1074 O
0.0000 0.5164 0.2630 Cd
0.0000 0.0164 0.7370 Cd
0.0000 0.4043 0.6500 N
0.0000 0.9043 0.3500 N
0.5000 0.4964 0.7510 Pd
0.5000 0.9964 0.2490 Pd
```

***

Crystalline CdPdNO at its relaxed geometry, computed with GGA-PBE.

POSCAR file:
```
CdPdNO
1.0
-1.8529 -3.2094 0.0000
0.0000 0.0000 5.4041
-5.0220 2.8995 0.0000
Pd O Cd N
2 2 2 2
Direct
0.0000 0.9968 0.5959 Pd
0.0000 0.4968 0.4041 Pd
0.5000 0.9162 0.7717 O
0.5000 0.4162 0.2283 O
0.5000 0.5053 0.8521 Cd
0.5000 0.0052 0.1479 Cd
0.0000 0.3358 0.7120 N
0.0000 0.8358 0.2880 N
```

***

Crystalline CdPdNO at its relaxed geometry, computed with GGA-PBE.

POSCAR file:
```
CdPdNO
1.0
-5.8566 -1.5165 -0.1169
1.8450 -6.9379 -2.4303
0.3120 -1.5685 4.7146
N O Cd Pd
4 4 4 4
Direct
0.8779 0.8684 0.1247 N
0.3779 0.1316 0.1247 N
0.6221 0.8684 0.6247 N
0.1221 0.1316 0.6247 N
0.4318 0.6437 0.0547 O
0.9318 0.3563 0.0547 O
0.5682 0.3563 0.5547 O
0.0682 0.6437 0.5547 O
0.0665 0.6264 0.0167 Cd
0.9335 0.3736 0.5167 Cd
0.4335 0.6264 0.5167 Cd
0.5665 0.3736 0.0167 Cd
0.9430 0.9292 0.5063 Pd
0.5570 0.9292 0.0063 Pd
0.4430 0.0708 0.5063 Pd
0.0570 0.0708 0.0063 Pd
```

***

Number 1: VASP energy -47.4 eV/cell, calculated density 7.455 Mg/m³. Number 2: VASP energy -95.6 eV/cell, calculated density 6.901 Mg/m³. Number 3: VASP energy -48.3 eV/cell, calculated density 6.711 Mg/m³. Number 4: VASP energy -95.4 eV/cell, calculated density 6.387 Mg/m³. Number 5: VASP energy -47.9 eV/cell, calculated density 6.411 Mg/m³. Number 6: VASP energy -74.4 eV/cell, calculated density 13.448 Mg/m³. Number 7: VASP energy -48.1 eV/cell, calculated density 10.260 Mg/m³. Number 8: VASP energy -100.0 eV/cell, calculated density 10.245 Mg/m³. Number 9: VASP energy -51.0 eV/cell, calculated density 9.418 Mg/m³. Number 10: VASP energy -41.3 eV/cell, calculated density 11.457 Mg/m³. Number 11: VASP energy -50.9 eV/cell, calculated density 10.102 Mg/m³. Number 12: VASP energy -101.9 eV/cell, calculated density 10.726 Mg/m³. Number 13: VASP energy -36.5 eV/cell, calculated density 8.165 Mg/m³. Number 14: VASP energy -36.4 eV/cell, calculated density 8.055 Mg/m³. Number 15: VASP energy -72.8 eV/cell, calculated density 8.135 Mg/m³. Number 16: VASP energy -36.3 eV/cell, calculated density 9.873 Mg/m³. Number 17: VASP energy -34.5 eV/cell, calculated density 7.904 Mg/m³. Number 18: VASP energy -35.6 eV/cell, calculated density 8.191 Mg/m³. Number 19: VASP energy -35.3 eV/cell, calculated density 7.219 Mg/m³. Number 20: VASP energy -36.3 eV/cell, calculated density 7.105 Mg/m³. Number 21: VASP energy -36.3 eV/cell, calculated density 7.116 Mg/m³. Number 22: VASP energy -74.7 eV/cell, calculated density 7.239 Mg/m³.